Entry from Alexandria via LeMat-Bulk: RbNa2CdO2 after structural relaxation (PBE-GGA).

Unit cell a=5.947 b=10.870 c=4.003 alpha=90.00 beta=90.00 gamma=90.00
Atoms (fractional coordinates):
Rb1 0.000 0.000 0.000
Rb2 0.500 0.500 0.500
Na1 0.076 0.269 0.500
Na2 0.424 0.769 0.000
Na3 0.576 0.231 0.000
Na4 0.924 0.731 0.500
Cd1 0.000 0.500 0.000
Cd2 0.500 0.000 0.500
O1 0.235 0.350 0.000
O2 0.265 0.850 0.500
O3 0.735 0.150 0.500
O4 0.765 0.650 0.000

Its density is 3.54 g cm⁻³. The total DFT energy (no corrections) comes out at -3.34 eV per atom. The value obtained for the uncorrected formation energy is -930 meV/atom.


Entry from Alexandria via LeMat-Bulk: Na3CdRe2O8 after structural relaxation (PBE-GGA).

Unit cell a=5.890 b=5.890 c=9.147 alpha=90.00 beta=90.00 gamma=120.00
Atoms (fractional coordinates):
Na1 0.000 0.000 0.000
Na2 0.333 0.667 0.707
Na3 0.667 0.333 0.293
Cd1 0.000 0.000 0.500
Re1 0.333 0.667 0.145
Re2 0.667 0.333 0.855
O1 0.170 0.341 0.212
O2 0.170 0.830 0.212
O3 0.333 0.667 0.951
O4 0.341 0.170 0.788
O5 0.659 0.830 0.212
O6 0.667 0.333 0.049
O7 0.830 0.170 0.788
O8 0.830 0.659 0.788

Its density is 4.12 g cm⁻³. The total DFT energy (no corrections) comes out at -6.42 eV per atom. The value obtained for the uncorrected formation energy is -1463 meV/atom.